No. 1
An optimized crystal structure of MnBeIn2, computed with PBE.

Structure (POSCAR):
```
MnBeIn2
1.0
4.3618 -1.5323 0.0000
4.3618 1.5323 0.0000
-1.2300 0.0000 5.4916
Mn Be In
1 1 2
Cartesian
0.0000 0.0000 0.0000
3.7468 0.0000 2.7458
1.1944 0.0000 4.0533
6.2992 0.0000 1.4383
```

Properties
The calculation puts the total DFT energy (no corrections) at -4.124 eV per atom.

=====

No. 2
An optimized crystal structure of LaMgAl2Ir, computed with PBE.

Structure (POSCAR):
```
LaMgAl2Ir
1.0
4.7673 0.0000 0.0000
0.0000 4.7673 0.0000
0.0000 0.0000 4.9456
La Mg Al Ir
1 1 2 1
Cartesian
0.0000 0.0000 0.0000
2.3836 2.3836 0.0000
0.0000 2.3836 2.4728
2.3836 0.0000 2.4728
2.3836 2.3836 2.4728
```

Properties
The calculation puts the total DFT energy (no corrections) at -5.078 eV per atom.

=====

No. 3
An optimized crystal structure of Fe2PW, computed with PBE.

Structure (POSCAR):
```
Fe2PW
1.0
-2.5689 2.5689 5.1263
2.5689 -2.5689 5.1263
2.5689 2.5689 -5.1263
Fe P W
4 2 2
Cartesian
3.8534 1.1223 -1.2816
1.1223 1.2845 1.2816
-1.2845 1.4466 3.8447
1.4466 1.2845 6.4078
0.0000 0.0000 0.0000
0.0000 2.5689 2.5631
2.5689 0.0000 2.5631
0.0000 0.0000 5.1263
```

Properties
The calculation puts the total DFT energy (no corrections) at -8.128 eV per atom.

=====

No. 4
An optimized crystal structure of Tb8Sb2Ru3, computed with PBE.

Structure (POSCAR):
```
Tb8Sb2Ru3
1.0
4.9025 -7.5151 0.0000
4.9025 7.5151 0.0000
0.0000 0.0000 4.8861
Tb Sb Ru
8 2 3
Cartesian
4.9025 5.9056 0.0000
2.5036 1.6314 2.4431
2.5036 -1.6314 2.4431
4.9025 1.6750 0.0000
4.9025 -1.6750 0.0000
7.3013 1.6314 2.4431
7.3013 -1.6314 2.4431
4.9025 -5.9056 0.0000
4.9025 3.8620 2.4431
4.9025 -3.8620 2.4431
2.4785 0.0000 0.0000
4.9025 0.0000 2.4431
7.3264 0.0000 0.0000
```

Properties
The value obtained for the formation energy without anion corrections is -0.507 eV/atom. The calculation puts the total DFT energy (no corrections) at -6.131 eV per atom.